[1]
The following is a PBE calculation of an optimized crystal structure of Tb2Dy3Ni4, from Alexandria.

```
Tb2Dy3Ni4
1.0
7.314 0.000 0.000
0.000 7.241 0.000
-2.212 0.000 7.278
Tb Dy Ni
4 6 8
direct
0.202 0.179 0.098
0.202 0.321 0.598
0.798 0.679 0.402
0.798 0.821 0.902
0.236 0.670 0.252
0.236 0.830 0.752
0.500 0.000 0.500
0.500 0.500 0.000
0.764 0.170 0.248
0.764 0.330 0.748
0.090 0.529 0.884
0.090 0.971 0.384
0.500 0.119 0.884
0.500 0.381 0.384
0.500 0.619 0.616
0.500 0.881 0.116
0.910 0.029 0.616
0.910 0.471 0.116
```

The density comes out at 8.96 g/cm³. The density of states at the Fermi level is 0.70 states/eV per atom. The energy relative to the elements comes out at -0.37 eV/atom. The total energy is -99.12 eV per cell.

***

[2]
The following is a PBE calculation of an optimized crystal structure of Tb2DyNi, from Alexandria.

```
Tb2DyNi
1.0
3.795 0.000 0.000
-1.897 3.286 0.000
0.000 0.000 26.736
Tb Dy Ni
6 3 3
direct
0.000 0.000 0.000
0.000 0.000 0.214
0.333 0.667 0.667
0.333 0.667 0.880
0.667 0.333 0.333
0.667 0.333 0.547
0.000 0.000 0.442
0.333 0.667 0.108
0.667 0.333 0.775
0.000 0.000 0.606
0.333 0.667 0.273
0.667 0.333 0.940
```

The density comes out at 8.05 g/cm³. As for the energy above the most stable polymorph in this dataset: 3.557 kcal/mol of atoms. The density of states at the Fermi level is 1.18 states/eV per atom. The energy relative to the elements comes out at -0.09 eV/atom. The total energy is -59.98 eV per cell.

***

[3]
The following is a PBE calculation of an optimized crystal structure of TbDy3Ni, from Alexandria.

```
TbDy3Ni
1.0
5.306 0.000 0.000
0.000 5.306 0.000
0.000 0.000 5.306
Tb Dy Ni
1 3 1
direct
0.000 0.000 0.000
0.000 0.500 0.500
0.500 0.000 0.500
0.500 0.500 0.000
0.500 0.500 0.500
```

The density comes out at 7.84 g/cm³. As for the energy above the most stable polymorph in this dataset: 3.061 kcal/mol of atoms. The density of states at the Fermi level is 1.99 states/eV per atom. The energy relative to the elements comes out at -0.03 eV/atom. The total energy is -24.39 eV per cell.